No. 1
First-principles (PBE) data for an optimized crystal structure of PrPaTcNi, as listed in Alexandria.

Lattice parameters (Å, degrees): 4.8982 4.8982 4.8982 60.00 60.00 60.00
Last column: nearest neighbours and their distance in Å.
Sites, in units of the cell vectors:
Tc1 0.2500 0.2500 0.2500  4 Pa 3.00, 4 Pr 3.00
Pr1 0.0000 0.0000 0.0000  4 Ni 3.00, 4 Tc 3.00
Ni1 0.7500 0.7500 0.7500  4 Pr 3.00, 4 Pa 3.00
Pa1 0.5000 0.5000 0.5000  4 Tc 3.00, 4 Ni 3.00

Output
DFT formation energy, eV per atom: 0.01
Total DFT energy (no corrections), eV per atom: -7.598

=====

No. 2
First-principles (PBE) data for an optimized crystal structure of Pa3Ni3Pt, as listed in Alexandria.

Lattice parameters (Å, degrees): 4.2191 5.0737 13.1627 90.00 90.00 114.57
Last column: nearest neighbours and their distance in Å.
Sites, in units of the cell vectors:
Pa1 0.5846 0.1691 0.2500  7 Ni 2.65-2.89, 2 Pa 2.95
Pa2 0.4154 0.8309 0.7500  7 Ni 2.65-2.89, 2 Pa 2.95
Pa3 0.8267 0.6533 0.3969  6 Ni 2.69-2.87, 1 Pa 2.95, 2 Pt 2.98
Pa4 0.8267 0.6533 0.1031  6 Ni 2.69-2.87, 1 Pa 2.95, 2 Pt 2.98
Pa5 0.1733 0.3467 0.6031  6 Ni 2.69-2.87, 1 Pa 2.95, 2 Pt 2.98
Pa6 0.1733 0.3467 0.8969  6 Ni 2.69-2.87, 1 Pa 2.95, 2 Pt 2.98
Ni1 0.2972 0.5945 0.2500  2 Ni 2.56, 1 Pa 2.65
Ni2 0.1178 0.2355 0.1019  1 Ni 2.56, 4 Pa 2.69-2.86, 2 Pt 2.73
Ni3 0.8822 0.7645 0.8981  1 Ni 2.56, 4 Pa 2.69-2.86, 2 Pt 2.73
Ni4 0.7028 0.4055 0.7500  2 Ni 2.56, 1 Pa 2.65
Ni5 0.8822 0.7645 0.6019  1 Ni 2.56, 4 Pa 2.69-2.86, 2 Pt 2.73
Ni6 0.1178 0.2355 0.3981  1 Ni 2.56, 4 Pa 2.69-2.86, 2 Pt 2.73
Pt1 0.5000 0.0000 0.0000  4 Ni 2.73, 4 Pa 2.98
Pt2 0.5000 0.0000 0.5000  4 Ni 2.73, 4 Pa 2.98

Output
DFT formation energy, eV per atom: -0.53
Total DFT energy (no corrections), eV per atom: -7.942

=====

No. 3
First-principles (PBE) data for an optimized crystal structure of PaNiPt6, as listed in Alexandria.

Lattice parameters (Å, degrees): 4.9515 4.9515 7.2370 71.15 71.15 65.86
Last column: nearest neighbours and their distance in Å.
Sites, in units of the cell vectors:
Pa1 0.5000 0.5000 0.5000  10 Pt 2.82-3.04
Pt1 0.4405 0.9298 0.7047  1 Ni 2.51, 4 Pt 2.63-2.75
Pt2 0.5595 0.0702 0.2953  1 Ni 2.51, 4 Pt 2.63-2.75
Pt3 0.3316 0.3316 0.9546  1 Ni 2.65, 4 Pt 2.75-2.89
Pt4 0.9298 0.4405 0.7047  1 Ni 2.51, 4 Pt 2.63-2.75
Pt5 0.6684 0.6684 0.0454  1 Ni 2.65, 4 Pt 2.75-2.89
Pt6 0.0702 0.5595 0.2953  1 Ni 2.51, 4 Pt 2.63-2.75
Ni1 0.0000 0.0000 0.0000  6 Pt 2.51-2.65

Output
Energy above the lowest structure with this stoichiometry, kJ/mol of atoms: 21.95
DFT formation energy, eV per atom: -0.29
Total DFT energy (no corrections), eV per atom: -6.732

=====

Number 1: DOS at the Fermi energy 4.18 states/eV/f.u.. Number 2: DOS at the Fermi energy 8.24 states/eV/f.u.. Number 3: DOS at the Fermi energy 6.66 states/eV/f.u..